1.
# Tb2LuAg

A relaxed structure of Tb2LuAg (PBE, the Alexandria database). Values from VASP.

The structure in Quantum ESPRESSO input format:
```
&SYSTEM
  ibrav = 0, nat = 4, ntyp = 3
/
ATOMIC_SPECIES
Tb 158.93 Tb.upf
Lu 174.97 Lu.upf
Ag 107.87 Ag.upf
CELL_PARAMETERS angstrom
3.555 0.000 0.000
0.000 3.555 0.000
0.000 0.000 8.797
ATOMIC_POSITIONS crystal
Tb 0.000 0.000 0.220
Tb 0.000 0.000 0.780
Lu 0.500 0.500 0.500
Ag 0.500 0.500 0.000
```

Computed properties:
For the total moment, the calculation gives 0.0 Bohr magnetons per cell. Its calculated volume is 27.8 Å³/atom. Its distance to the lowest polymorph of the same formula is 0.00 eV per formula unit. Its formation energy is -0.12 eV per atom.



2.
# Zr2HgTeO

A relaxed structure of Zr2HgTeO (PBE, the Alexandria database). Values from VASP.

The structure in Quantum ESPRESSO input format:
```
&SYSTEM
  ibrav = 0, nat = 5, ntyp = 4
/
ATOMIC_SPECIES
Zr 91.22 Zr.upf
Hg 200.59 Hg.upf
Te 127.60 Te.upf
O 16.00 O.upf
CELL_PARAMETERS angstrom
4.357 0.000 0.000
0.000 4.357 0.000
0.000 0.000 5.635
ATOMIC_POSITIONS crystal
Zr 0.000 0.500 0.000
Zr 0.500 0.000 0.000
Hg 0.000 0.000 0.500
Te 0.500 0.500 0.500
O 0.500 0.500 0.000
```

Computed properties:
For the total moment, the calculation gives 0.0 Bohr magnetons per cell. Its calculated volume is 21.4 Å³/atom. For the formation energy without anion corrections, the calculation gives -3.51 eV per formula unit.



3.
# SrZrGa3

A relaxed structure of SrZrGa3 (PBE, the Alexandria database). Values from VASP.

The structure in Quantum ESPRESSO input format:
```
&SYSTEM
  ibrav = 0, nat = 5, ntyp = 3
/
ATOMIC_SPECIES
Sr 87.62 Sr.upf
Zr 91.22 Zr.upf
Ga 69.72 Ga.upf
CELL_PARAMETERS angstrom
5.239 0.000 0.000
0.000 5.239 0.000
0.000 0.000 5.239
ATOMIC_POSITIONS crystal
Sr 0.000 0.000 0.000
Zr 0.500 0.500 0.500
Ga 0.000 0.500 0.500
Ga 0.500 0.000 0.500
Ga 0.500 0.500 0.000
```

Computed properties:
For the total moment, the calculation gives 0.0 Bohr magnetons per cell. Its calculated volume is 28.8 Å³/atom. Its distance to the lowest polymorph of the same formula is 0.00 eV per formula unit. Its formation energy is -0.05 eV per atom.



4.
# Er2Ga3Au2

A relaxed structure of Er2Ga3Au2 (PBE, the Alexandria database). Values from VASP.

The structure in Quantum ESPRESSO input format:
```
&SYSTEM
  ibrav = 0, nat = 14, ntyp = 3
/
ATOMIC_SPECIES
Er 167.26 Er.upf
Ga 69.72 Ga.upf
Au 196.97 Au.upf
CELL_PARAMETERS angstrom
2.083 -9.423 0.000
2.083 9.423 0.000
0.000 0.000 7.263
ATOMIC_POSITIONS crystal
Er 0.057 0.943 0.750
Er 0.156 0.844 0.250
Er 0.844 0.156 0.750
Er 0.943 0.057 0.250
Ga 0.228 0.772 0.750
Ga 0.444 0.556 0.580
Ga 0.444 0.556 0.920
Ga 0.556 0.444 0.080
Ga 0.556 0.444 0.420
Ga 0.772 0.228 0.250
Au 0.318 0.682 0.051
Au 0.318 0.682 0.449
Au 0.682 0.318 0.551
Au 0.682 0.318 0.949
```

Computed properties:
For the total moment, the calculation gives 0.0 Bohr magnetons per cell. Its calculated volume is 20.4 Å³/atom. Its distance to the lowest polymorph of the same formula is 0.13 eV per formula unit. Its formation energy is -0.64 eV per atom.



5.
# KPb2Se

A relaxed structure of KPb2Se (PBE, the Alexandria database). Values from VASP.

The structure in Quantum ESPRESSO input format:
```
&SYSTEM
  ibrav = 0, nat = 4, ntyp = 3
/
ATOMIC_SPECIES
K 39.10 K.upf
Pb 207.20 Pb.upf
Se 78.96 Se.upf
CELL_PARAMETERS angstrom
2.011 1.161 10.040
-2.011 1.161 10.040
0.000 -2.322 10.040
ATOMIC_POSITIONS crystal
K 0.000 0.000 0.000
Pb 0.231 0.231 0.231
Pb 0.769 0.769 0.769
Se 0.500 0.500 0.500
```

Computed properties:
For the total moment, the calculation gives 0.0 Bohr magnetons per cell. Its calculated volume is 35.2 Å³/atom. For the formation energy without anion corrections, the calculation gives -0.50 eV per formula unit.